A plane-wave DFT calculation with GGA+U was carried out for an optimized crystal structure of KMg6WO8.

Output
As for the final energy: -5.72 eV per atom. The space group is P4/mmm, No. 123. For the energy above the most stable polymorph in this dataset, the calculation gives 43.2 meV per atom.

Unit cell a=4.4756 b=4.4756 c=8.9720 alpha=90.00 beta=90.00 gamma=90.00
Positions (direct):
1 W 0.0000 0.0000 0.5000
2 O 0.5000 0.5000 0.7463
3 O 0.5000 0.0000 0.5000
4 O 0.5000 0.5000 0.2537
5 O 0.0000 0.5000 0.0000
6 O 0.5000 0.0000 0.0000
7 Mg 0.5000 0.0000 0.2338
8 O 0.0000 0.5000 0.5000
9 Mg 0.0000 0.5000 0.2338
10 K 0.0000 0.0000 0.0000
11 Mg 0.0000 0.5000 0.7662
12 Mg 0.5000 0.5000 0.0000
13 Mg 0.5000 0.0000 0.7662
14 O 0.0000 0.0000 0.2666
15 Mg 0.5000 0.5000 0.5000
16 O 0.0000 0.0000 0.7334